Record 1
Computed, not measured: crystalline BeTc2Pt at its relaxed geometry at the PBE level of DFT.

```
4
Lattice="2.792 0.000 0.000 0.000 2.792 0.000 0.000 0.000 6.750" Properties=species:S:1:pos:R:3 pbc="T T T"
Tc 0.000 0.000 0.105
Tc 1.396 1.396 1.848
Pt 1.396 1.396 4.773
Be 0.000 0.000 3.399
```

ΔH_f (0 K) (eV per atom): -0.252
Crystal system: tetragonal

Record 2
Computed, not measured: crystalline BeTc2Pt at its relaxed geometry at the PBE level of DFT.

```
4
Lattice="-1.682 -2.387 -3.886 -4.163 -2.437 0.596 1.608 4.491 0.931" Properties=species:S:1:pos:R:3 pbc="T T T"
Tc -0.001 -0.001 -0.001
Tc -2.921 -2.411 -1.644
Be -2.739 -0.179 -0.059
Pt -1.498 -0.154 -2.300
```

ΔH_f (0 K) (eV per atom): -0.117
Crystal system: orthorhombic

Record 3
Computed, not measured: crystalline Be4TcPt at its relaxed geometry at the PBE level of DFT.

```
6
Lattice="0.367 -3.569 -2.562 -3.464 -1.398 -2.342 -0.011 0.426 -4.388" Properties=species:S:1:pos:R:3 pbc="T T T"
Be -1.159 -1.693 -3.465
Be -2.921 -2.404 -4.656
Be -1.165 -1.476 -5.696
Be -0.972 -3.508 -4.768
Tc 0.000 0.000 0.000
Pt -2.331 -3.405 -6.969
```

ΔH_f (0 K) (eV per atom): -0.317
Crystal system: cubic

Record 4
Computed, not measured: crystalline BeTc2Pt at its relaxed geometry at the PBE level of DFT.

```
4
Lattice="-3.262 -2.556 -2.321 -0.825 -3.387 -3.225 -0.194 -3.538 2.731" Properties=species:S:1:pos:R:3 pbc="T T T"
Pt -1.070 -2.370 -0.704
Tc -2.146 -4.783 -1.382
Tc -4.276 -9.439 -2.841
Be -3.211 -7.111 -2.112
```

ΔH_f (0 K) (eV per atom): -0.058
Crystal system: monoclinic

Record 5
Computed, not measured: crystalline BeTcPt at its relaxed geometry at the PBE level of DFT.

```
3
Lattice="2.727 0.000 0.000 -1.363 2.361 0.000 0.000 0.000 6.163" Properties=species:S:1:pos:R:3 pbc="T T T"
Pt 1.363 0.787 1.904
Tc 0.000 1.574 4.224
Be 0.000 0.000 0.034
```

E above lowest polymorph (meV per atom): 208
ΔH_f (0 K) (eV per atom): -0.068
Crystal system: trigonal

Record 6
Computed, not measured: crystalline BeTc2Pt at its relaxed geometry at the PBE level of DFT.

```
4
Lattice="4.278 0.000 0.000 2.139 3.705 0.000 2.139 1.235 3.493" Properties=species:S:1:pos:R:3 pbc="T T T"
Tc 6.417 3.705 2.620
Tc 0.000 0.000 0.000
Be 4.278 2.470 1.747
Pt 2.139 1.235 0.873
```

ΔH_f (0 K) (eV per atom): 0.054
Crystal system: cubic

Record 7
Computed, not measured: crystalline BeTc2Pt at its relaxed geometry at the PBE level of DFT.

```
4
Lattice="-2.795 -1.774 -2.239 0.013 -2.174 1.706 -3.538 -0.051 4.457" Properties=species:S:1:pos:R:3 pbc="T T T"
Pt -4.041 -2.555 3.503
Tc -1.684 -1.159 3.020
Tc -0.065 -2.127 1.767
Be -2.279 -1.443 0.421
```

ΔH_f (0 K) (eV per atom): -0.072
Crystal system: monoclinic

Record 8
Computed, not measured: crystalline BeTc2Pt at its relaxed geometry at the PBE level of DFT.

```
4
Lattice="-3.087 -3.158 -0.980 -1.782 -2.569 -3.269 2.756 -3.877 0.574" Properties=species:S:1:pos:R:3 pbc="T T T"
Tc -1.561 -7.291 -2.764
Tc -2.197 -9.431 -3.677
Be -1.128 -4.747 -1.864
Pt -0.400 -2.541 -0.881
```

ΔH_f (0 K) (eV per atom): -0.076
Crystal system: monoclinic

Record 9
Computed, not measured: crystalline BeTc2Pt at its relaxed geometry at the PBE level of DFT.

```
4
Lattice="-1.952 -2.981 -0.162 2.287 -1.618 2.208 -2.310 1.330 3.367" Properties=species:S:1:pos:R:3 pbc="T T T"
Be -2.131 -0.825 1.603
Tc 0.000 0.000 0.000
Tc 0.167 -2.299 1.023
Pt -0.011 -0.144 2.788
```

ΔH_f (0 K) (eV per atom): -0.066
Crystal system: tetragonal

Record 10
Computed, not measured: crystalline BeVTcPt at its relaxed geometry at the PBE level of DFT.

```
4
Lattice="4.182 0.000 0.000 2.091 3.621 0.000 2.091 1.207 3.414" Properties=species:S:1:pos:R:3 pbc="T T T"
Be 4.182 2.414 1.707
Pt 6.273 3.621 2.561
V 0.000 0.000 0.000
Tc 2.091 1.207 0.854
```

ΔH_f (0 K) (eV per atom): -0.423
Crystal system: cubic

Record 11
Computed, not measured: crystalline Be2TePt at its relaxed geometry at the PBE level of DFT.

```
4
Lattice="3.902 -0.064 -0.050 2.008 3.347 -0.050 0.070 0.039 5.183" Properties=species:S:1:pos:R:3 pbc="T T T"
Be 0.794 0.441 4.255
Be 4.730 2.627 3.727
Pt 2.753 1.529 3.219
Te 0.763 0.424 1.607
```

Formation energy without anion corrections (meV/atom): -193
Crystal system: trigonal

Record 12
Computed, not measured: crystalline BeTePt2 at its relaxed geometry at the PBE level of DFT.

```
4
Lattice="-0.178 -1.978 2.179 0.642 -2.155 -1.907 7.195 0.899 1.405" Properties=species:S:1:pos:R:3 pbc="T T T"
Pt 4.054 0.506 0.792
Pt 6.738 0.842 1.316
Te 2.030 -1.842 0.487
Be 5.628 -1.392 1.190
```

E above lowest polymorph (meV per atom): 131
Formation energy without anion corrections (meV/atom): -209
Crystal system: tetragonal

Per-record E_tot, hartree per atom: -0.289, -0.285, -0.203, -0.282, -0.249, -0.278, -0.283, -0.283, -0.283, -0.284, -0.160, -0.182